Model i:
# Pm3ErS6, relaxed, DFT PBE
# Magnetic moment ... 0.00 Bohr magnetons per cell
# Fermi-level density of states ... 0.000 states/eV per atom
data_Pm3ErS6
_symmetry_space_group_name_H-M 'R -3'
_symmetry_Int_Tables_number 148
_symmetry_space_group_name_Hall '-R 3'
_cell_length_a 11.7099
_cell_length_b 11.7099
_cell_length_c 13.8200
_cell_angle_alpha 90.00
_cell_angle_beta 90.00
_cell_angle_gamma 120.00
loop_
_atom_site_label
_atom_site_type_symbol
_atom_site_fract_x
_atom_site_fract_y
_atom_site_fract_z
Pm1 Pm 0.0488 0.7786 0.2024
Er1 Er 0.0000 0.0000 0.0000
Er2 Er 0.0000 0.0000 0.5000
S1 S 0.0223 0.8124 0.3997
S2 S 0.0311 0.8398 0.8782

=====

Model ii:
# Pm3ErS6, relaxed, DFT PBE
# Magnetic moment ... 0.00 Bohr magnetons per cell
# Fermi-level density of states ... 0.000 states/eV per atom
data_Pm3ErS6
_symmetry_space_group_name_H-M 'P 1 21/c 1'
_symmetry_Int_Tables_number 14
_cell_length_a 6.7341
_cell_length_b 7.3460
_cell_length_c 12.1113
_cell_angle_alpha 90.00
_cell_angle_beta 122.92
_cell_angle_gamma 90.00
loop_
_symmetry_equiv_pos_as_xyz
'x,y,z'
'-x,-y,-z'
'-x,y+1/2,-z+1/2'
'x,-y+1/2,z+1/2'
loop_
_atom_site_label
_atom_site_type_symbol
_atom_site_fract_x
_atom_site_fract_y
_atom_site_fract_z
Pm1 Pm 0.0000 0.0000 0.0000
Pm2 Pm 0.2927 0.0928 0.7522
Er1 Er 0.5000 0.0000 0.5000
S1 S 0.1000 0.0638 0.2558
S2 S 0.2657 0.6836 0.0817
S3 S 0.4074 0.1898 0.0806

=====

Which structure is the least stable? The one labeled model ii.